A plane-wave DFT calculation with PBE was carried out for crystalline Ca2ZnTe at its relaxed geometry.

**Distance to the lowest polymorph of the same formula**: 132 meV/atom
**E_form (uncorrected)**: -0.649 eV per atom
**Volume**: 219.1 Å³/cell
**Density of states at the Fermi level**: 0.839 states/eV/f.u.

Lattice parameters (Å, degrees): 4.902 4.902 9.119 90.00 90.00 90.00
Space group I4/mmm (No. 139)
Asymmetric unit:
Ca 0.000 0.500 0.250 [4 per cell]
Zn 0.000 0.000 0.000 [2 per cell]
Te 0.000 0.000 0.500 [2 per cell]